(1)
Density functional theory data (PBE) for a geometry-optimized K2SbAu structure.

Cell and atoms, written as POSCAR:
```
K2SbAu
1.0
4.7515 0.0000 0.0000
0.0000 4.7515 0.0000
0.0000 0.0000 10.4270
K Sb Au
4 2 2
Cartesian
0.0000 2.3758 2.6068
0.0000 2.3758 7.8203
2.3758 0.0000 2.6068
2.3758 0.0000 7.8203
0.0000 0.0000 0.0000
2.3758 2.3758 5.2135
0.0000 0.0000 5.2135
2.3758 2.3758 0.0000
```

- Uncorrected formation energy: -0.20 eV per atom
- Theoretical density: 5600 kg/m3

(2)
Density functional theory data (PBE) for a geometry-optimized PmSmWN4 structure.

Cell and atoms, written as POSCAR:
```
PmSmWN4
1.0
3.9539 0.0000 0.0000
0.0000 3.9539 0.0000
0.0000 0.0000 12.4290
Pm Sm W N
2 2 2 8
Cartesian
0.0000 0.0000 0.0000
1.9769 1.9769 6.2145
0.0000 0.0000 3.6145
1.9769 1.9769 9.8290
0.0000 0.0000 8.0296
1.9769 1.9769 1.8151
0.0000 0.0000 5.9377
0.0000 0.0000 10.0892
0.0000 1.9769 1.8060
0.0000 1.9769 8.0205
1.9769 0.0000 1.8060
1.9769 0.0000 8.0205
1.9769 1.9769 3.8747
1.9769 1.9769 12.1522
```

- Uncorrected formation energy: -1.07 eV per atom
- Theoretical density: 9148 kg/m3

(3)
Density functional theory data (PBE) for a geometry-optimized Dy2RuBr structure.

Cell and atoms, written as POSCAR:
```
Dy2RuBr
1.0
3.9585 0.0000 0.0000
-1.9793 3.4282 0.0000
0.0000 0.0000 23.1872
Dy Ru Br
6 3 3
Cartesian
0.0000 0.0000 0.0000
0.0000 0.0000 4.7463
0.0000 2.2855 15.4582
0.0000 2.2855 20.2045
1.9793 1.1427 7.7291
1.9793 1.1427 12.4754
0.0000 0.0000 13.9576
0.0000 2.2855 6.2285
1.9793 1.1427 21.6867
0.0000 0.0000 10.0515
0.0000 2.2855 2.3224
1.9793 1.1427 17.7806
```

- Energy above the lowest structure with this stoichiometry: 0.0793 eV per atom
- Uncorrected formation energy: -0.74 eV per atom
- Theoretical density: 8010 kg/m3

(4)
Density functional theory data (PBE) for a geometry-optimized NaLi3Ag2 structure.

Cell and atoms, written as POSCAR:
```
NaLi3Ag2
1.0
5.6188 0.0000 0.0000
-2.8094 4.8660 0.0000
0.0000 0.0000 4.4337
Na Li Ag
1 3 2
Cartesian
0.0000 0.0000 0.0000
-1.4047 2.4330 2.2169
2.8094 0.0000 2.2169
1.4047 2.4330 2.2169
0.0000 3.2440 0.0000
2.8094 1.6220 0.0000
```

- Energy above the lowest structure with this stoichiometry: 0.0592 eV per atom
- Theoretical density: 3555 kg/m3
- ΔH_f (0 K): -76 meV/atom

(5)
Density functional theory data (PBE) for a geometry-optimized LiMnW2 structure.

Cell and atoms, written as POSCAR:
```
LiMnW2
1.0
8.8927 0.0000 0.0000
0.0000 2.6372 0.0000
-0.5188 0.0000 4.9326
Li Mn W
2 2 4
Cartesian
0.0000 0.0000 0.0000
4.4464 1.3186 0.0000
1.8529 0.0000 3.7387
6.2992 1.3186 3.7387
-0.1688 1.3186 2.5204
2.1253 1.3186 1.1736
4.2776 0.0000 2.5204
6.5716 0.0000 1.1736
```

- Energy above the lowest structure with this stoichiometry: 0.1252 eV per atom
- Theoretical density: 12332 kg/m3
- ΔH_f (0 K): 458 meV/atom

(6)
Density functional theory data (PBE) for a geometry-optimized CsPdPb4 structure.

Cell and atoms, written as POSCAR:
```
CsPdPb4
1.0
9.5213 -4.3804 0.0000
9.5213 4.3804 0.0000
-1.7707 0.0000 5.5465
Cs Pd Pb
2 2 8
Cartesian
3.4186 0.0000 1.1013
13.8532 0.0000 4.4453
9.0753 0.0000 1.3959
8.1965 0.0000 4.1506
7.0025 1.8301 2.2524
9.5213 2.5020 0.0000
5.3880 0.0000 4.7927
10.2693 1.8301 3.2941
7.0025 -1.8301 2.2524
11.8839 0.0000 0.7538
9.5213 -2.5020 0.0000
10.2693 -1.8301 3.2941
```

- Energy above the lowest structure with this stoichiometry: 0.0000 eV per atom
- Theoretical density: 7667 kg/m3
- ΔH_f (0 K): -231 meV/atom

(7)
Density functional theory data (PBE) for a geometry-optimized Cs2SrLiI5 structure.

Cell and atoms, written as POSCAR:
```
Cs2SrLiI5
1.0
2.4754 -11.2752 0.0000
2.4754 11.2752 0.0000
0.0000 0.0000 15.8745
Cs Sr Li I
4 2 2 10
Cartesian
2.4754 8.7737 7.9372
2.4754 8.4692 2.1860
2.4754 -8.4692 10.1232
2.4754 -8.7737 0.0000
2.4754 6.6737 13.3004
2.4754 -6.6737 5.3632
2.4754 1.4679 3.9912
2.4754 -1.4679 11.9285
2.4754 9.9773 13.3358
2.4754 4.7228 7.5918
2.4754 4.2618 3.1184
2.4754 3.4448 13.0446
2.4754 0.0721 1.6563
2.4754 -0.0721 9.5936
2.4754 -3.4448 5.1073
2.4754 -4.2618 11.0556
2.4754 -4.7228 15.5291
2.4754 -9.9773 5.3986
```

- Uncorrected formation energy: -1.54 eV per atom
- Theoretical density: 3729 kg/m3

(8)
Density functional theory data (PBE) for a geometry-optimized HfMgCu3 structure.

Cell and atoms, written as POSCAR:
```
HfMgCu3
1.0
4.4142 0.0000 0.0000
0.0000 4.4142 0.0000
0.0000 0.0000 4.4142
Hf Mg Cu
1 1 3
Cartesian
0.0000 0.0000 0.0000
2.2071 2.2071 2.2071
0.0000 2.2071 2.2071
2.2071 0.0000 2.2071
2.2071 2.2071 0.0000
```

- Energy above the lowest structure with this stoichiometry: 0.0000 eV per atom
- Theoretical density: 7596 kg/m3
- ΔH_f (0 K): 775 meV/atom